Entry from Alexandria via LeMat-Bulk: a relaxed structure of Rb2Ag3F6 (PBE).

abc: 4.3238 7.1775 7.1775
angles: 120.00 90.00 90.00
Positions (direct):
Rb 0.0000 0.6667 0.3333
Rb 0.0000 0.3333 0.6667
F 0.5000 0.0000 0.5704
F 0.5000 0.4296 0.4296
F 0.0000 0.2429 0.0000
F 0.5000 0.5704 0.0000
F 0.0000 0.7571 0.7571
F 0.0000 0.0000 0.2429
Ag 0.5000 0.2333 0.0000
Ag 0.5000 0.0000 0.2333
Ag 0.5000 0.7667 0.7667

Summary:
Mass density (Mg/m³): 5.24
M_tot (μB/atom): 0.000
Formation energy (no corrections) (kcal/mol of atoms): -38.000
Fermi-level density of states (states/eV per atom): 0.411